Compound: HoSc2Ga
Source: Alexandria via LeMat-Bulk
Functional: PBE
Structure: relaxed

Lattice parameters (Å, degrees): 4.2897 4.3957 10.4526 90.00 101.78 90.00
Fractional positions:
Ho1 0.1936 0.2500 0.3893
Ho2 0.8064 0.7500 0.6106
Sc1 0.0588 0.7500 0.1186
Sc2 0.4328 0.7500 0.8644
Sc3 0.5672 0.2500 0.1356
Sc4 0.9412 0.2500 0.8814
Ga1 0.3432 0.2500 0.6830
Ga2 0.6568 0.7500 0.3170

Results
uncorrected energy = -5.3782 eV/atom
size of the total moment = 0.00 μB/cell
density = 5.587 g/cm3
Fermi-level density of states = 1.336 states/eV per atom
energy above the most stable polymorph in this dataset = 0.000 eV per atom